Below is crystalline ErSiHRu at its relaxed geometry, with properties calculated at the GGA-PBE level.

Geometry as POSCAR:
```
ErSiHRu
1.0
4.066 0.000 0.000
0.000 4.066 0.000
0.000 0.000 7.037
Er Si H Ru
2 2 2 2
Direct
0.250 0.250 0.158
0.750 0.750 0.842
0.250 0.250 0.675
0.750 0.750 0.325
0.250 0.750 0.000
0.750 0.250 0.000
0.250 0.750 0.500
0.750 0.250 0.500
```

Calculated values
**Density of states at the Fermi level**: 3.68 states/eV per cell
**Energy**: -25.7 eV per formula unit

---

Below is crystalline Na3Tl12Pb at its relaxed geometry, with properties calculated at the GGA-PBE level.

Geometry as POSCAR:
```
Na3Tl12Pb
1.0
4.949 0.000 0.000
0.000 4.949 0.000
0.000 0.000 19.293
Na Tl Pb
3 12 1
Direct
0.000 0.000 0.000
0.000 0.000 0.246
0.000 0.000 0.754
0.000 0.500 0.122
0.000 0.500 0.371
0.000 0.500 0.629
0.000 0.500 0.878
0.500 0.000 0.122
0.500 0.000 0.371
0.500 0.000 0.629
0.500 0.000 0.878
0.500 0.500 0.000
0.500 0.500 0.245
0.500 0.500 0.500
0.500 0.500 0.755
0.000 0.000 0.500
```

Calculated values
**Density of states at the Fermi level**: 7.69 states/eV per cell
**Formation enthalpy at 0 K**: -0.050 eV/atom
**Energy**: -36.9 eV per formula unit

---

Below is crystalline CdFeH3 at its relaxed geometry, with properties calculated at the GGA-PBE level.

Geometry as POSCAR:
```
CdFeH3
1.0
3.757 0.000 0.000
0.000 3.757 0.000
0.000 0.000 3.757
Cd Fe H
1 1 3
Direct
0.000 0.000 0.000
0.500 0.500 0.500
0.000 0.000 0.500
0.000 0.500 0.000
0.500 0.000 0.000
```

Calculated values
**Density of states at the Fermi level**: 8.18 states/eV per cell
**Distance to the lowest polymorph of the same formula**: 367.1 kJ/mol of formula units
**Energy**: -14.5 eV per formula unit

---

Below is crystalline PrAsH at its relaxed geometry, with properties calculated at the GGA-PBE level.

Geometry as POSCAR:
```
PrAsH
1.0
3.909 0.000 0.000
-1.954 3.385 0.000
0.000 0.000 4.407
Pr As H
1 1 1
Direct
0.000 0.000 0.000
0.667 0.333 0.500
0.333 0.667 0.000
```

Calculated values
**Density of states at the Fermi level**: 1.45 states/eV per cell
**Distance to the lowest polymorph of the same formula**: 35.1 kJ/mol of formula units
**Energy**: -14.9 eV per formula unit